Run 1
# AlHg3Pd

AlHg3Pd at its PBEsol-relaxed geometry (meta-GGA SCAN, Alexandria via LeMat-Bulk). Values from VASP.

total moment = 0.0 μB/f.u.
space group = No. 221
Fermi-level density of states = 1.96 states/eV/cell
density = 9.94 g/cm3

```
&SYSTEM
  ibrav = 0, nat = 5, ntyp = 3
/
ATOMIC_SPECIES
Al 26.98 Al.upf
Hg 200.59 Hg.upf
Pd 106.42 Pd.upf
CELL_PARAMETERS angstrom
4.970 0.000 0.000
0.000 4.970 0.000
0.000 0.000 4.970
ATOMIC_POSITIONS crystal
Al 0.000 0.000 0.000
Hg 0.000 0.000 0.500
Hg 0.000 0.500 0.000
Hg 0.500 0.000 0.000
Pd 0.500 0.500 0.500
```

---

Run 2
# AlHg3Pd

AlHg3Pd at its PBEsol-relaxed geometry (meta-GGA SCAN, Alexandria via LeMat-Bulk). Values from VASP.

total moment = 0.0 μB/f.u.
space group = No. 221
Fermi-level density of states = 2.32 states/eV/cell
density = 9.04 g/cm3

```
&SYSTEM
  ibrav = 0, nat = 5, ntyp = 3
/
ATOMIC_SPECIES
Al 26.98 Al.upf
Hg 200.59 Hg.upf
Pd 106.42 Pd.upf
CELL_PARAMETERS angstrom
5.130 0.000 0.000
0.000 5.130 0.000
0.000 0.000 5.130
ATOMIC_POSITIONS crystal
Al 0.000 0.000 0.000
Hg 0.000 0.500 0.500
Hg 0.500 0.000 0.500
Hg 0.500 0.500 0.000
Pd 0.500 0.500 0.500
```

---

In terms of stability, run 2 leads; the second structure lies 0.121 eV/atom higher.

---

Run 1
# RbAl3Hg

RbAl3Hg at its PBEsol-relaxed geometry (meta-GGA SCAN, Alexandria via LeMat-Bulk). Values from VASP.

total moment = 0.0 μB/f.u.
space group = No. 221
Fermi-level density of states = 2.60 states/eV/cell
density = 4.18 g/cm3

```
&SYSTEM
  ibrav = 0, nat = 5, ntyp = 3
/
ATOMIC_SPECIES
Rb 85.47 Rb.upf
Al 26.98 Al.upf
Hg 200.59 Hg.upf
CELL_PARAMETERS angstrom
5.264 0.000 0.000
0.000 5.264 0.000
0.000 0.000 5.264
ATOMIC_POSITIONS crystal
Rb 0.000 0.000 0.000
Al 0.000 0.500 0.500
Al 0.500 0.000 0.500
Al 0.500 0.500 0.000
Hg 0.500 0.500 0.500
```

---

Run 2
# RbAl3Hg

RbAl3Hg at its PBEsol-relaxed geometry (meta-GGA SCAN, Alexandria via LeMat-Bulk). Values from VASP.

total moment = 0.0 μB/f.u.
space group = No. 221
Fermi-level density of states = 7.56 states/eV/cell
density = 2.89 g/cm3

```
&SYSTEM
  ibrav = 0, nat = 5, ntyp = 3
/
ATOMIC_SPECIES
Rb 85.47 Rb.upf
Al 26.98 Al.upf
Hg 200.59 Hg.upf
CELL_PARAMETERS angstrom
5.951 0.000 0.000
0.000 5.951 0.000
0.000 0.000 5.951
ATOMIC_POSITIONS crystal
Rb 0.000 0.000 0.000
Al 0.000 0.000 0.500
Al 0.000 0.500 0.000
Al 0.500 0.000 0.000
Hg 0.500 0.500 0.500
```

---

In terms of stability, run 1 leads; the second structure lies 1.234 eV/atom higher.

---

Run 1
# AlHgSe2

AlHgSe2 at its PBEsol-relaxed geometry (meta-GGA SCAN, Alexandria via LeMat-Bulk). Values from VASP.

total moment = 0.0 μB/f.u.
space group = No. 44
Fermi-level density of states = 1.37 states/eV/cell
density = 7.43 g/cm3

```
&SYSTEM
  ibrav = 0, nat = 4, ntyp = 3
/
ATOMIC_SPECIES
Al 26.98 Al.upf
Hg 200.59 Hg.upf
Se 78.96 Se.upf
CELL_PARAMETERS angstrom
-1.749 1.842 6.682
1.749 -1.842 6.682
1.749 1.842 -6.682
ATOMIC_POSITIONS crystal
Al 0.000 0.000 0.000
Hg 0.252 0.752 0.500
Se 0.579 0.579 0.000
Se 0.863 0.363 0.500
```

---

Run 2
# AlHgSe2

AlHgSe2 at its PBEsol-relaxed geometry (meta-GGA SCAN, Alexandria via LeMat-Bulk). Values from VASP.

total moment = 0.0 μB/f.u.
space group = No. 123
Fermi-level density of states = 2.74 states/eV/cell
density = 7.93 g/cm3

```
&SYSTEM
  ibrav = 0, nat = 4, ntyp = 3
/
ATOMIC_SPECIES
Al 26.98 Al.upf
Hg 200.59 Hg.upf
Se 78.96 Se.upf
CELL_PARAMETERS angstrom
4.862 0.000 0.000
0.000 4.862 0.000
0.000 0.000 3.415
ATOMIC_POSITIONS crystal
Al 0.000 0.000 0.000
Hg 0.500 0.500 0.000
Se 0.000 0.500 0.500
Se 0.500 0.000 0.500
```

---

Run 3
# AlHgSe2

AlHgSe2 at its PBEsol-relaxed geometry (meta-GGA SCAN, Alexandria via LeMat-Bulk). Values from VASP.

total moment = 0.0 μB/f.u.
space group = No. 65
Fermi-level density of states = 1.74 states/eV/cell
density = 6.93 g/cm3

```
&SYSTEM
  ibrav = 0, nat = 4, ntyp = 3
/
ATOMIC_SPECIES
Al 26.98 Al.upf
Hg 200.59 Hg.upf
Se 78.96 Se.upf
CELL_PARAMETERS angstrom
1.786 -2.831 0.000
1.786 2.831 0.000
0.000 0.000 9.140
ATOMIC_POSITIONS crystal
Al 0.000 0.000 0.000
Hg 0.000 0.000 0.500
Se 0.500 0.500 0.184
Se 0.500 0.500 0.816
```

---

Run 4
# AlHgSe2

AlHgSe2 at its PBEsol-relaxed geometry (meta-GGA SCAN, Alexandria via LeMat-Bulk). Values from VASP.

total moment = 0.0 μB/f.u.
space group = No. 166
Fermi-level density of states = 1.45 states/eV/cell
density = 6.59 g/cm3

```
&SYSTEM
  ibrav = 0, nat = 4, ntyp = 3
/
ATOMIC_SPECIES
Al 26.98 Al.upf
Hg 200.59 Hg.upf
Se 78.96 Se.upf
CELL_PARAMETERS angstrom
1.839 1.062 8.286
-1.839 1.062 8.286
0.000 -2.124 8.286
ATOMIC_POSITIONS crystal
Al 0.000 0.000 0.000
Hg 0.500 0.500 0.500
Se 0.389 0.389 0.389
Se 0.611 0.611 0.611
```

---

In terms of stability, run 4 leads; the second structure lies 0.296 eV/atom higher.

---

Run 1
# SrAl2Hg

SrAl2Hg at its PBEsol-relaxed geometry (meta-GGA SCAN, Alexandria via LeMat-Bulk). Values from VASP.

total moment = 0.0 μB/f.u.
space group = No. 44
Fermi-level density of states = 1.16 states/eV/cell
density = 6.19 g/cm3

```
&SYSTEM
  ibrav = 0, nat = 4, ntyp = 3
/
ATOMIC_SPECIES
Sr 87.62 Sr.upf
Al 26.98 Al.upf
Hg 200.59 Hg.upf
CELL_PARAMETERS angstrom
-2.453 2.601 3.599
2.453 -2.601 3.599
2.453 2.601 -3.599
ATOMIC_POSITIONS crystal
Sr 0.000 0.000 0.000
Al 0.505 0.505 0.000
Al 0.736 0.236 0.500
Hg 0.264 0.764 0.500
```

---

Run 2
# SrAl2Hg

SrAl2Hg at its PBEsol-relaxed geometry (meta-GGA SCAN, Alexandria via LeMat-Bulk). Values from VASP.

total moment = 0.0 μB/f.u.
space group = No. 166
Fermi-level density of states = 1.73 states/eV/cell
density = 5.66 g/cm3

```
&SYSTEM
  ibrav = 0, nat = 4, ntyp = 3
/
ATOMIC_SPECIES
Sr 87.62 Sr.upf
Al 26.98 Al.upf
Hg 200.59 Hg.upf
CELL_PARAMETERS angstrom
2.222 1.283 5.867
-2.222 1.283 5.867
0.000 -2.566 5.867
ATOMIC_POSITIONS crystal
Sr 0.000 0.000 0.000
Al 0.213 0.213 0.213
Al 0.787 0.787 0.787
Hg 0.500 0.500 0.500
```

---

In terms of stability, run 2 leads; the second structure lies 0.175 eV/atom higher.

---

Run 1
# Sr2AlHg

Sr2AlHg at its PBEsol-relaxed geometry (meta-GGA SCAN, Alexandria via LeMat-Bulk). Values from VASP.

total moment = 0.0 μB/f.u.
space group = No. 119
Fermi-level density of states = 2.75 states/eV/cell
density = 5.78 g/cm3

```
&SYSTEM
  ibrav = 0, nat = 4, ntyp = 3
/
ATOMIC_SPECIES
Sr 87.62 Sr.upf
Al 26.98 Al.upf
Hg 200.59 Hg.upf
CELL_PARAMETERS angstrom
-2.409 2.409 4.985
2.409 -2.409 4.985
2.409 2.409 -4.985
ATOMIC_POSITIONS crystal
Sr 0.000 0.000 0.000
Sr 0.750 0.250 0.500
Al 0.500 0.500 0.000
Hg 0.250 0.750 0.500
```

---

Run 2
# Sr2AlHg

Sr2AlHg at its PBEsol-relaxed geometry (meta-GGA SCAN, Alexandria via LeMat-Bulk). Values from VASP.

total moment = 0.0 μB/f.u.
space group = No. 225
Fermi-level density of states = 2.53 states/eV/cell
density = 5.58 g/cm3

```
&SYSTEM
  ibrav = 0, nat = 4, ntyp = 3
/
ATOMIC_SPECIES
Sr 87.62 Sr.upf
Al 26.98 Al.upf
Hg 200.59 Hg.upf
CELL_PARAMETERS angstrom
0.000 3.913 3.913
3.913 0.000 3.913
3.913 3.913 0.000
ATOMIC_POSITIONS crystal
Sr 0.250 0.250 0.250
Sr 0.750 0.750 0.750
Al 0.000 0.000 0.000
Hg 0.500 0.500 0.500
```

---

In terms of stability, run 2 leads; the second structure lies 0.205 eV/atom higher.

---

Run 1
# Sr2AlHg

Sr2AlHg at its PBEsol-relaxed geometry (meta-GGA SCAN, Alexandria via LeMat-Bulk). Values from VASP.

total moment = 0.0 μB/f.u.
space group = No. 123
Fermi-level density of states = 2.36 states/eV/cell
density = 5.60 g/cm3

```
&SYSTEM
  ibrav = 0, nat = 4, ntyp = 3
/
ATOMIC_SPECIES
Sr 87.62 Sr.upf
Al 26.98 Al.upf
Hg 200.59 Hg.upf
CELL_PARAMETERS angstrom
5.578 0.000 0.000
0.000 5.578 0.000
0.000 0.000 3.841
ATOMIC_POSITIONS crystal
Sr 0.000 0.500 0.000
Sr 0.500 0.000 0.000
Al 0.000 0.000 0.500
Hg 0.500 0.500 0.500
```

---

Run 2
# Sr2AlHg

Sr2AlHg at its PBEsol-relaxed geometry (meta-GGA SCAN, Alexandria via LeMat-Bulk). Values from VASP.

total moment = 0.0 μB/f.u.
space group = No. 160
Fermi-level density of states = 3.29 states/eV/cell
density = 4.65 g/cm3

```
&SYSTEM
  ibrav = 0, nat = 4, ntyp = 3
/
ATOMIC_SPECIES
Sr 87.62 Sr.upf
Al 26.98 Al.upf
Hg 200.59 Hg.upf
CELL_PARAMETERS angstrom
2.319 1.339 7.723
-2.319 1.339 7.723
0.000 -2.677 7.723
ATOMIC_POSITIONS crystal
Sr 0.000 0.000 0.000
Sr 0.179 0.179 0.179
Al 0.757 0.757 0.757
Hg 0.422 0.422 0.422
```

---

In terms of stability, run 2 leads; the second structure lies 0.013 eV/atom higher.